VASP calculation (PBE-GGA) on a relaxed structure of Ba3TaS6.

a b c (Å): 7.2973 7.7640 12.7072
angles (deg): 90.00 124.92 90.00
With the nearest neighbours (Å) after each atom.
Fractional coordinates of all 20 atoms:
Ba 0.0000 0.0000 0.0000  6 S 3.07-3.13
Ba 0.0000 0.5000 0.5000  6 S 3.07-3.13
Ba 0.2758 0.0744 0.7463  6 S 3.16-3.38
Ba 0.2758 0.4256 0.2463  6 S 3.16-3.38
Ba 0.7242 0.5744 0.7537  6 S 3.16-3.38
Ba 0.7242 0.9256 0.2537  6 S 3.16-3.38
Ta 0.5000 0.0000 0.5000  6 S 2.45-2.48
Ta 0.5000 0.5000 0.0000  6 S 2.45-2.48
S 0.1676 0.0416 0.2817  1 Ta 2.45
S 0.1676 0.4584 0.7817  1 Ta 2.45
S 0.2781 0.6745 0.0500  1 Ta 2.46
S 0.2781 0.8255 0.5500  1 Ta 2.46
S 0.4023 0.2344 0.0662  1 Ta 2.48
S 0.4023 0.2656 0.5662  1 Ta 2.48
S 0.5977 0.7344 0.4338  1 Ta 2.48
S 0.5977 0.7656 0.9338  1 Ta 2.48
S 0.7219 0.1745 0.4500  1 Ta 2.46
S 0.7219 0.3255 0.9500  1 Ta 2.46
S 0.8324 0.5416 0.2183  1 Ta 2.45
S 0.8324 0.9584 0.7183  1 Ta 2.45

total energy	-57.2	eV/f.u.
volume	590.3	Å³ per cell
raw formation energy	-1.4806	eV per atom